The following is a DFT calculation (PBE) of a relaxed structure of Tl2GaPb.

## Properties
- DFT formation energy (meV per atom) = 76
- total DFT energy (no corrections) (eV per atom) = -2.791
- energy relative to the lowest polymorph listed for this composition (eV/atom) = 0.011

a = 4.9299 Å, b = 4.7992 Å, c = 4.7992 Å
α = 90.00°, β = 90.00°, γ = 90.00°
Last column: nearest neighbours and their distance in Å.
Atoms (fractional coordinates):
Pb 0.5000 0.5000 0.5000  4 Ga 3.39, 8 Tl 3.44
Tl 0.0000 0.0000 0.5000  4 Tl 3.39, 4 Pb 3.44, 4 Ga 3.44
Tl 0.0000 0.5000 0.0000  4 Tl 3.39, 4 Pb 3.44, 4 Ga 3.44
Ga 0.5000 0.0000 0.0000  4 Pb 3.39, 8 Tl 3.44

=====

The following is a DFT calculation (PBE) of a relaxed structure of Tl2GaPb3.

## Properties
- DFT formation energy (meV per atom) = 31
- total DFT energy (no corrections) (eV per atom) = -3.117

a = 4.7615 Å, b = 7.9199 Å, c = 9.7939 Å
α = 90.00°, β = 90.00°, γ = 72.51°
Last column: nearest neighbours and their distance in Å.
Atoms (fractional coordinates):
Tl 0.0000 0.0000 0.0000  8 Pb 3.35-3.41, 4 Ga 3.53
Tl 0.0000 0.0000 0.5000  4 Tl 3.47, 8 Pb 3.48-3.66
Tl 0.3326 0.3348 0.5000  4 Tl 3.45-3.47, 8 Pb 3.54-3.61
Tl 0.6674 0.6652 0.5000  4 Tl 3.45-3.47, 8 Pb 3.54-3.61
Ga 0.3278 0.3443 0.0000  8 Pb 3.29-3.51, 2 Ga 3.35, 2 Tl 3.53
Ga 0.6722 0.6557 0.0000  8 Pb 3.29-3.51, 2 Ga 3.35, 2 Tl 3.53
Pb 0.8312 0.3376 0.7681  3 Ga 3.29-3.31, 5 Tl 3.41-3.66, 4 Pb 3.42-3.49
Pb 0.5000 0.0000 0.2411  6 Tl 3.35-3.58, 4 Pb 3.49, 2 Ga 3.51
Pb 0.1688 0.6624 0.2319  3 Ga 3.29-3.31, 5 Tl 3.41-3.66, 4 Pb 3.42-3.49
Pb 0.8312 0.3376 0.2319  3 Ga 3.29-3.31, 5 Tl 3.41-3.66, 4 Pb 3.42-3.49
Pb 0.1688 0.6624 0.7681  3 Ga 3.29-3.31, 5 Tl 3.41-3.66, 4 Pb 3.42-3.49
Pb 0.5000 0.0000 0.7589  6 Tl 3.35-3.58, 4 Pb 3.49, 2 Ga 3.51

=====

The following is a DFT calculation (PBE) of a relaxed structure of Tl2GaPb.

## Properties
- DFT formation energy (meV per atom) = 64
- total DFT energy (no corrections) (eV per atom) = -2.802
- energy relative to the lowest polymorph listed for this composition (eV/atom) = 0.000

a = 3.6240 Å, b = 3.6240 Å, c = 8.5689 Å
α = 90.00°, β = 90.00°, γ = 90.00°
Last column: nearest neighbours and their distance in Å.
Atoms (fractional coordinates):
Pb 0.5000 0.5000 0.5000  8 Tl 3.49, 4 Pb 3.62
Tl 0.0000 0.0000 0.7758  4 Ga 3.20, 4 Pb 3.49
Tl 0.0000 0.0000 0.2242  4 Ga 3.20, 4 Pb 3.49
Ga 0.5000 0.5000 0.0000  8 Tl 3.20

=====

The following is a DFT calculation (PBE) of a relaxed structure of TlGaPb4.

## Properties
- DFT formation energy (meV per atom) = 20
- total DFT energy (no corrections) (eV per atom) = -3.351
- energy relative to the lowest polymorph listed for this composition (eV/atom) = 0.000

a = 3.5181 Å, b = 3.5181 Å, c = 14.3344 Å
α = 90.00°, β = 90.00°, γ = 90.00°
Last column: nearest neighbours and their distance in Å.
Atoms (fractional coordinates):
Tl 0.0000 0.0000 0.0000  4 Tl 3.52, 8 Pb 3.56
Ga 0.5000 0.5000 0.5000  8 Pb 3.27, 4 Ga 3.52
Pb 0.5000 0.5000 0.1775  8 Pb 3.52-3.53, 4 Tl 3.56
Pb 0.0000 0.0000 0.6482  4 Ga 3.27, 8 Pb 3.52-3.53
Pb 0.0000 0.0000 0.3518  4 Ga 3.27, 8 Pb 3.52-3.53
Pb 0.5000 0.5000 0.8225  8 Pb 3.52-3.53, 4 Tl 3.56

=====

The following is a DFT calculation (PBE) of a relaxed structure of TlGa2Pb.

## Properties
- DFT formation energy (meV per atom) = 89
- total DFT energy (no corrections) (eV per atom) = -2.943
- energy relative to the lowest polymorph listed for this composition (eV/atom) = 0.031

a = 3.5144 Å, b = 3.5144 Å, c = 8.3252 Å
α = 90.00°, β = 90.00°, γ = 90.00°
Last column: nearest neighbours and their distance in Å.
Atoms (fractional coordinates):
Pb 0.5000 0.5000 0.0000  8 Ga 3.22, 4 Pb 3.51
Tl 0.5000 0.5000 0.5000  8 Ga 3.27, 4 Tl 3.51
Ga 0.0000 0.0000 0.7545  4 Pb 3.22, 4 Tl 3.27, 4 Ga 3.51
Ga 0.0000 0.0000 0.2455  4 Pb 3.22, 4 Tl 3.27, 4 Ga 3.51

=====

The following is a DFT calculation (PBE) of a relaxed structure of TlGaPb14.

## Properties
- DFT formation energy (meV per atom) = 16
- total DFT energy (no corrections) (eV per atom) = -3.566

a = 7.0839 Å, b = 7.0839 Å, c = 9.8796 Å
α = 90.00°, β = 90.00°, γ = 90.00°
Last column: nearest neighbours and their distance in Å.
Atoms (fractional coordinates):
Tl 0.8750 0.8750 0.5000  12 Pb 3.52-3.54
Ga 0.3750 0.3750 0.5000  12 Pb 3.46-3.54
Pb 0.8750 0.8750 0.0000  12 Pb 3.54-3.57
Pb 0.3750 0.3750 0.0000  12 Pb 3.51-3.54
Pb 0.8750 0.3750 0.5000  8 Pb 3.49, 2 Ga 3.54, 2 Tl 3.54
Pb 0.8750 0.3750 0.0000  12 Pb 3.54-3.55
Pb 0.3750 0.8750 0.5000  8 Pb 3.49, 2 Ga 3.54, 2 Tl 3.54
Pb 0.3750 0.8750 0.0000  12 Pb 3.54-3.55
Pb 0.6208 0.1292 0.2539  1 Ga 3.46, 10 Pb 3.48-3.60, 1 Tl 3.52
Pb 0.6208 0.1292 0.7461  1 Ga 3.46, 10 Pb 3.48-3.60, 1 Tl 3.52
Pb 0.1292 0.6208 0.2539  1 Ga 3.46, 10 Pb 3.48-3.60, 1 Tl 3.52
Pb 0.1292 0.6208 0.7461  1 Ga 3.46, 10 Pb 3.48-3.60, 1 Tl 3.52
Pb 0.6208 0.6208 0.2539  1 Ga 3.46, 10 Pb 3.48-3.60, 1 Tl 3.52
Pb 0.6208 0.6208 0.7461  1 Ga 3.46, 10 Pb 3.48-3.60, 1 Tl 3.52
Pb 0.1292 0.1292 0.2539  1 Ga 3.46, 10 Pb 3.48-3.60, 1 Tl 3.52
Pb 0.1292 0.1292 0.7461  1 Ga 3.46, 10 Pb 3.48-3.60, 1 Tl 3.52

=====

Results for total magnetic moment: 0.0, 0.0, 0.0, 0.0, 0.0, 0.0 (in Bohr magnetons per cell, following the order of the records).